# CaH2Pb (PBE-GGA, relaxed)
# distance to the lowest polymorph of the same formula	0	meV/atom
# spin magnetization	0.00	μB/cell
# DFT total energy	-0.1231	Ha/atom
# D(E_F)	0.199	states/eV/atom
data_CaH2Pb
_cell_length_a 3.7144
_cell_length_b 3.7144
_cell_length_c 18.7688
_cell_angle_alpha 90.00
_cell_angle_beta 90.00
_cell_angle_gamma 120.00
_symmetry_space_group_name_H-M 'R -3 m'
_symmetry_Int_Tables_number 166
_symmetry_space_group_name_Hall '-R 3 2"'
loop_
_atom_site_label
_atom_site_type_symbol
_atom_site_fract_x
_atom_site_fract_y
_atom_site_fract_z
_atom_site_occupancy
Ca1 Ca 0.0000 0.0000 0.0000 1
H1 H 0.0000 0.0000 0.3753 1
Pb1 Pb 0.0000 0.0000 0.5000 1

---

# Na2NpScSe4 (PBE-GGA, relaxed)
# spin magnetization	4.00	μB/cell
# DFT total energy	-0.2151	Ha/atom
# D(E_F)	1.365	states/eV/atom
# raw formation energy	-1373	meV/atom
data_Na2NpScSe4
_cell_length_a 7.040
_cell_length_b 4.077
_cell_length_c 7.374
_cell_angle_alpha 90.00
_cell_angle_beta 108.65
_cell_angle_gamma 90.00
_symmetry_space_group_name_H-M 'P 1 2/m 1'
_symmetry_Int_Tables_number 10
_symmetry_space_group_name_Hall '-P 2y'
loop_
_atom_site_label
_atom_site_type_symbol
_atom_site_fract_x
_atom_site_fract_y
_atom_site_fract_z
_atom_site_occupancy
Na1 Na 0.000 0.000 0.000 1
Na2 Na 0.500 0.500 0.000 1
Np1 Np 0.000 0.500 0.500 1
Sc1 Sc 0.500 0.000 0.500 1
Se1 Se 0.256 0.000 0.728 1
Se2 Se 0.271 0.500 0.278 1

---

# Re3Se (PBE-GGA, relaxed)
# distance to the lowest polymorph of the same formula	296	meV/atom
# spin magnetization	0.00	μB/cell
# DFT total energy	-0.3530	Ha/atom
# D(E_F)	0.781	states/eV/atom
# raw formation energy	603	meV/atom
data_Re3Se
_cell_length_a 2.922
_cell_length_b 3.999
_cell_length_c 5.316
_cell_angle_alpha 90.00
_cell_angle_beta 90.00
_cell_angle_gamma 90.00
_symmetry_space_group_name_H-M 'P m m m'
_symmetry_Int_Tables_number 47
_symmetry_space_group_name_Hall '-P 2 2'
loop_
_atom_site_label
_atom_site_type_symbol
_atom_site_fract_x
_atom_site_fract_y
_atom_site_fract_z
_atom_site_occupancy
Re1 Re 0.000 0.000 0.000 1
Re2 Re 0.500 0.500 0.237 1
Se1 Se 0.000 0.000 0.500 1

---

# Cr2SiSb (PBE-GGA, relaxed)
# distance to the lowest polymorph of the same formula	115	meV/atom
# spin magnetization	14.95	μB/cell
# DFT total energy	-0.2544	Ha/atom
# D(E_F)	0.615	states/eV/atom
# raw formation energy	276	meV/atom
data_Cr2SiSb
_cell_length_a 3.6625
_cell_length_b 3.6625
_cell_length_c 18.0589
_cell_angle_alpha 90.00
_cell_angle_beta 90.00
_cell_angle_gamma 120.00
_symmetry_space_group_name_H-M 'R -3 m'
_symmetry_Int_Tables_number 166
_symmetry_space_group_name_Hall '-R 3 2"'
loop_
_atom_site_label
_atom_site_type_symbol
_atom_site_fract_x
_atom_site_fract_y
_atom_site_fract_z
_atom_site_occupancy
Cr1 Cr 0.0000 0.0000 0.2340 1
Si1 Si 0.0000 0.0000 0.5000 1
Sb1 Sb 0.0000 0.0000 0.0000 1

---

# CuAg2SbTe4 (PBE-GGA, relaxed)
# spin magnetization	0.00	μB/cell
# DFT total energy	-0.1229	Ha/atom
# D(E_F)	0.503	states/eV/atom
# raw formation energy	-35	meV/atom
data_CuAg2SbTe4
_cell_length_a 8.893
_cell_length_b 8.916
_cell_length_c 13.001
_cell_angle_alpha 90.00
_cell_angle_beta 90.00
_cell_angle_gamma 90.00
_symmetry_space_group_name_H-M 'F m m 2'
_symmetry_Int_Tables_number 42
_symmetry_space_group_name_Hall 'F 2 -2'
loop_
_atom_site_label
_atom_site_type_symbol
_atom_site_fract_x
_atom_site_fract_y
_atom_site_fract_z
_atom_site_occupancy
Cu1 Cu 0.000 0.000 0.000 1
Ag1 Ag 0.250 0.250 0.250 1
Sb1 Sb 0.000 0.000 0.499 1
Te1 Te 0.000 0.229 0.877 1
Te2 Te 0.231 0.000 0.122 1

---

# BPIrO2 (PBE-GGA, relaxed)
# distance to the lowest polymorph of the same formula	632	meV/atom
# spin magnetization	0.00	μB/cell
# DFT total energy	-0.2063	Ha/atom
# D(E_F)	0.506	states/eV/atom
# raw formation energy	560	meV/atom
data_BPIrO2
_cell_length_a 3.687
_cell_length_b 3.687
_cell_length_c 5.256
_cell_angle_alpha 90.00
_cell_angle_beta 90.00
_cell_angle_gamma 90.00
_symmetry_space_group_name_H-M 'P 4/m m m'
_symmetry_Int_Tables_number 123
_symmetry_space_group_name_Hall '-P 4 2'
loop_
_atom_site_label
_atom_site_type_symbol
_atom_site_fract_x
_atom_site_fract_y
_atom_site_fract_z
_atom_site_occupancy
B1 B 0.000 0.000 0.000 1
P1 P 0.500 0.500 0.000 1
Ir1 Ir 0.500 0.500 0.500 1
O1 O 0.000 0.500 0.500 1

---

# CsKRb2H (PBE-GGA, relaxed)
# distance to the lowest polymorph of the same formula	66	meV/atom
# spin magnetization	0.83	μB/cell
# DFT total energy	-0.0500	Ha/atom
# D(E_F)	0.782	states/eV/atom
data_CsKRb2H
_cell_length_a 6.549
_cell_length_b 6.549
_cell_length_c 7.120
_cell_angle_alpha 90.00
_cell_angle_beta 90.00
_cell_angle_gamma 90.00
_symmetry_space_group_name_H-M 'P 4/m m m'
_symmetry_Int_Tables_number 123
_symmetry_space_group_name_Hall '-P 4 2'
loop_
_atom_site_label
_atom_site_type_symbol
_atom_site_fract_x
_atom_site_fract_y
_atom_site_fract_z
_atom_site_occupancy
Cs1 Cs 0.000 0.000 0.000 1
K1 K 0.500 0.500 0.000 1
Rb1 Rb 0.000 0.500 0.500 1
H1 H 0.500 0.500 0.500 1

---

# LiAsPd (PBE-GGA, relaxed)
# spin magnetization	0.00	μB/cell
# DFT total energy	-0.1627	Ha/atom
# E_form	-0.510	eV/atom
# D(E_F)	0.420	states/eV/atom
data_LiAsPd
_cell_length_a 3.355
_cell_length_b 3.355
_cell_length_c 8.023
_cell_angle_alpha 90.00
_cell_angle_beta 90.00
_cell_angle_gamma 90.00
_symmetry_space_group_name_H-M 'I 4 m m'
_symmetry_Int_Tables_number 107
_symmetry_space_group_name_Hall 'I 4 -2'
loop_
_atom_site_label
_atom_site_type_symbol
_atom_site_fract_x
_atom_site_fract_y
_atom_site_fract_z
_atom_site_occupancy
Li1 Li 0.000 0.000 0.000 1
As1 As 0.000 0.000 0.678 1
Pd1 Pd 0.000 0.000 0.324 1

---

# MgSnH3 (PBE-GGA, relaxed)
# distance to the lowest polymorph of the same formula	0	meV/atom
# spin magnetization	0.00	μB/cell
# DFT total energy	-0.1058	Ha/atom
# D(E_F)	0.196	states/eV/atom
data_MgSnH3
_cell_length_a 3.894
_cell_length_b 3.894
_cell_length_c 3.894
_cell_angle_alpha 90.00
_cell_angle_beta 90.00
_cell_angle_gamma 90.00
_symmetry_space_group_name_H-M 'P m -3 m'
_symmetry_Int_Tables_number 221
_symmetry_space_group_name_Hall '-P 4 2 3'
loop_
_atom_site_label
_atom_site_type_symbol
_atom_site_fract_x
_atom_site_fract_y
_atom_site_fract_z
_atom_site_occupancy
Mg1 Mg 0.000 0.000 0.000 1
Sn1 Sn 0.500 0.500 0.500 1
H1 H 0.000 0.000 0.500 1

---

# Li2CuAgH (PBE-GGA, relaxed)
# distance to the lowest polymorph of the same formula	0	meV/atom
# spin magnetization	0.00	μB/cell
# DFT total energy	-0.1089	Ha/atom
# D(E_F)	0.206	states/eV/atom
data_Li2CuAgH
_cell_length_a 4.042
_cell_length_b 4.042
_cell_length_c 3.615
_cell_angle_alpha 90.00
_cell_angle_beta 90.00
_cell_angle_gamma 90.00
_symmetry_space_group_name_H-M 'P 4/m m m'
_symmetry_Int_Tables_number 123
_symmetry_space_group_name_Hall '-P 4 2'
loop_
_atom_site_label
_atom_site_type_symbol
_atom_site_fract_x
_atom_site_fract_y
_atom_site_fract_z
_atom_site_occupancy
Li1 Li 0.000 0.500 0.000 1
Cu1 Cu 0.000 0.000 0.500 1
Ag1 Ag 0.500 0.500 0.500 1
H1 H 0.000 0.000 0.000 1